BaReTe2 (PBE-GGA, relaxed); space-group type = Fm-3m (225); ΔE_f (raw) = 0.3486 eV/atom
1.0
0.000 3.742 3.742
3.742 0.000 3.742
3.742 3.742 0.000
Te Re Ba
2 1 1
Direct
0.250 0.250 0.250
0.750 0.750 0.750
0.500 0.500 0.500
0.000 0.000 0.000